# 1
A plane-wave DFT calculation with PBE-GGA was carried out for an optimized crystal structure of Ba3Pr2PaSb6.

Summary:
- formation energy without anion corrections (eV per atom) = -0.953
- volume (A^3/atom) = 37.829
- E (eV for the cell shown) = -121.99

a = 8.1198 Å, b = 14.0860 Å, c = 8.3906 Å
α = 90.00°, β = 108.91°, γ = 90.00°
Space group C2/m (No. 12)
Symmetry-distinct sites (fractional):
Ba1 0.0000 0.0000 0.0000 [2 per cell]
Ba2 0.0000 0.3289 0.0000 [4 per cell]
Pr1 0.0000 0.1659 0.5000 [4 per cell]
Pa1 0.0000 0.5000 0.5000 [2 per cell]
Sb1 0.2304 0.3402 0.7132 [8 per cell]
Sb2 0.2463 0.5000 0.2842 [4 per cell]


# 2
A plane-wave DFT calculation with PBE-GGA was carried out for an optimized crystal structure of Ba2PrPaSe6.

Summary:
- formation energy without anion corrections (eV per atom) = -1.805
- volume (A^3/atom) = 33.174
- E (eV for the cell shown) = -114.15

a = 7.5443 Å, b = 8.0217 Å, c = 13.2981 Å
α = 90.00°, β = 124.47°, γ = 90.00°
Space group P2_1/c (No. 14)
Symmetry-distinct sites (fractional):
Ba1 0.2250 0.0773 0.2501 [4 per cell]
Pr1 0.5000 0.0000 0.0000 [2 per cell]
Pa1 0.0000 0.0000 0.5000 [2 per cell]
Se1 0.1301 0.2067 0.9455 [4 per cell]
Se2 0.2460 0.6897 0.9482 [4 per cell]
Se3 0.3430 0.0263 0.7416 [4 per cell]


# 3
A plane-wave DFT calculation with PBE-GGA was carried out for an optimized crystal structure of BaPaPt2.

Summary:
- distance to the lowest polymorph of the same formula (meV per atom) = 80
- volume (A^3/atom) = 28.829
- E (eV for the cell shown) = -79.42
- ΔE_f (eV per atom) = -0.743

a = 4.6519 Å, b = 4.6519 Å, c = 18.4594 Å
α = 90.00°, β = 90.00°, γ = 120.00°
Space group R-3m (No. 166, hexagonal axes)
Symmetry-distinct sites (fractional):
Ba1 0.0000 0.0000 0.0000 [3 per cell]
Pa1 0.0000 0.0000 0.5000 [3 per cell]
Pt1 0.0000 0.0000 0.2105 [6 per cell]


# 4
A plane-wave DFT calculation with PBE-GGA was carried out for an optimized crystal structure of BaPaPt2.

Summary:
- distance to the lowest polymorph of the same formula (meV per atom) = 0
- volume (A^3/atom) = 25.860
- E (eV for the cell shown) = -26.79
- ΔE_f (eV per atom) = -0.823

a = 3.6363 Å, b = 3.6363 Å, c = 7.8229 Å
α = 90.00°, β = 90.00°, γ = 90.00°
Space group P4/mmm (No. 123)
Symmetry-distinct sites (fractional):
Ba1 0.0000 0.0000 0.0000 [1 per cell]
Pa1 0.0000 0.0000 0.5000 [1 per cell]
Pt1 0.5000 0.5000 0.3159 [2 per cell]


# 5
A plane-wave DFT calculation with PBE-GGA was carried out for an optimized crystal structure of Ba2PaPtS6.

Summary:
- formation energy without anion corrections (eV per atom) = -1.462
- volume (A^3/atom) = 26.272
- E (eV for the cell shown) = -58.77

a = 6.9419 Å, b = 6.9419 Å, c = 6.2951 Å
α = 90.00°, β = 90.00°, γ = 120.00°
Space group P-3m1 (No. 164)
Symmetry-distinct sites (fractional):
Ba1 0.3333 0.6667 0.1868 [2 per cell]
Pa1 0.0000 0.0000 0.5000 [1 per cell]
Pt1 0.0000 0.0000 0.0000 [1 per cell]
S1 0.1681 0.3363 0.7712 [6 per cell]


# 6
A plane-wave DFT calculation with PBE-GGA was carried out for an optimized crystal structure of BaPa4Pt3S12.

Summary:
- formation energy without anion corrections (eV per atom) = -1.183
- volume (A^3/atom) = 23.516
- E (eV for the cell shown) = -262.45

a = 9.7980 Å, b = 9.7980 Å, c = 9.7980 Å
α = 90.00°, β = 90.00°, γ = 90.00°
Space group Im-3 (No. 204)
Symmetry-distinct sites (fractional):
Ba1 0.0000 0.0000 0.0000 [2 per cell]
Pa1 0.2500 0.2500 0.2500 [8 per cell]
Pt1 0.0000 0.0000 0.5000 [6 per cell]
S1 0.0000 0.3139 0.1600 [24 per cell]